{
  "formula": "BaPuCuSe4",
  "functional": "PBE",
  "state": "relaxed",
  "dos_ef_per_ev_cell": 17.84,
  "sg": "P2_1/m, No. 11",
  "raw_formation_energy_ev_per_atom": -1.1867,
  "total_energy_ev_per_atom": -6.085,
  "lattice_angstrom": [[7.1796, 0.0000, 0.0616], [0.0000, 5.8675, 0.0000], [-2.7464, 0.0000, 8.6343]],
  "species": ["Ba", "Ba", "Pu", "Pu", "Cu", "Cu", "Se", "Se", "Se", "Se", "Se", "Se", "Se", "Se"],
  "frac_coords": [[0.7429, 0.7500, 0.9370], [0.2571, 0.2500, 0.0630], [0.7308, 0.7500, 0.4416], [0.2692, 0.2500, 0.5584], [0.2538, 0.7500, 0.3176], [0.7462, 0.2500, 0.6824], [0.0174, 0.5108, 0.7175], [0.9826, 0.0108, 0.2825], [0.9826, 0.4892, 0.2825], [0.0174, 0.9892, 0.7175], [0.4453, 0.7500, 0.1438], [0.5547, 0.2500, 0.8562], [0.4207, 0.7500, 0.5869], [0.5793, 0.2500, 0.4131]]
}

=====

{
  "formula": "NdSbH",
  "functional": "PBE",
  "state": "relaxed",
  "dos_ef_per_ev_cell": 0.14,
  "sg": "Imm2, No. 44",
  "polymorph_energy_mev_per_atom": 51.2,
  "total_energy_ev_per_atom": -4.748,
  "lattice_angstrom": [[-1.9332, -3.7617, -1.1579], [3.5526, -3.2875, -3.5544], [1.5097, -4.4739, 3.7105]],
  "species": ["Nd", "Nd", "Sb", "Sb", "H", "H"],
  "frac_coords": [[0.0000, 0.0723, 0.9277], [0.5000, 0.5831, 0.4169], [0.2457, 0.1636, 0.3450], [0.7543, 0.6550, 0.8364], [0.0503, 0.6954, 0.2040], [0.9497, 0.7960, 0.3046]]
}

=====

{
  "formula": "AcPm2Rh",
  "functional": "PBE",
  "state": "relaxed",
  "dos_ef_per_ev_cell": 10.56,
  "sg": "Cmcm, No. 63",
  "polymorph_energy_mev_per_atom": 22.5,
  "delta_e_f_mev_per_atom": -407,
  "total_energy_ev_per_atom": -5.648,
  "lattice_angstrom": [[3.9703, -0.1605, 0.0000], [-1.7370, 6.2972, 0.0000], [0.0000, 0.0000, 10.0501]],
  "species": ["Ac", "Ac", "Pm", "Pm", "Pm", "Pm", "Rh", "Rh"],
  "frac_coords": [[0.4204, 0.8412, 0.2500], [0.5796, 0.1588, 0.7500], [0.1439, 0.2878, 0.4308], [0.8561, 0.7122, 0.5692], [0.8561, 0.7122, 0.9308], [0.1439, 0.2878, 0.0692], [0.7336, 0.4672, 0.2500], [0.2664, 0.5328, 0.7500]]
}

=====

{
  "formula": "Nb3PH",
  "functional": "PBE",
  "state": "relaxed",
  "dos_ef_per_ev_cell": 5.72,
  "sg": "P-1, No. 2",
  "polymorph_energy_mev_per_atom": 0.0,
  "total_energy_ev_per_atom": -8.337,
  "lattice_angstrom": [[3.4383, -0.0369, -0.2814], [-1.7363, 4.9422, -0.8133], [-1.0342, -3.7464, 9.0250]],
  "species": ["Nb", "Nb", "Nb", "Nb", "Nb", "Nb", "P", "P", "H", "H"],
  "frac_coords": [[0.0884, 0.2339, 0.4428], [0.3026, 0.1577, 0.9502], [0.2102, 0.6503, 0.2695], [0.9116, 0.7661, 0.5572], [0.7898, 0.3497, 0.7305], [0.6974, 0.8423, 0.0498], [0.5085, 0.7697, 0.7485], [0.4915, 0.2303, 0.2515], [0.3781, 0.4025, 0.8551], [0.6219, 0.5975, 0.1449]]
}

=====

{
  "formula": "EuRh2",
  "functional": "PBE",
  "state": "relaxed",
  "dos_ef_per_ev_cell": 5.79,
  "sg": "I4/mmm, No. 139",
  "delta_e_f_mev_per_atom": -68,
  "total_energy_ev_per_atom": -8.394,
  "lattice_angstrom": [[3.4904, 0.0000, 0.0000], [0.0000, 3.4904, 0.0000], [-1.7452, -1.7452, 5.0019]],
  "species": ["Eu", "Rh", "Rh"],
  "frac_coords": [[0.0000, 0.0000, 0.0000], [0.7083, 0.7083, 0.4165], [0.2917, 0.2917, 0.5835]]
}

=====

{
  "formula": "Ho5Bi4Ir",
  "functional": "PBE",
  "state": "relaxed",
  "dos_ef_per_ev_cell": 0.77,
  "sg": "I4, No. 79",
  "delta_e_f_mev_per_atom": -728,
  "total_energy_ev_per_atom": -5.455,
  "lattice_angstrom": [[-1.2613, -5.9776, -1.3932], [2.6561, -2.2822, -6.7039], [5.2572, -4.9288, 2.2966]],
  "species": ["Ho", "Ho", "Ho", "Ho", "Ho", "Bi", "Bi", "Bi", "Bi", "Ir"],
  "frac_coords": [[0.9244, 0.3690, 0.8197], [0.2934, 0.8197, 0.6310], [0.7441, 0.1803, 0.3690], [0.1131, 0.6310, 0.1803], [0.3946, 0.0000, 0.0000], [0.4324, 0.3876, 0.7897], [0.8200, 0.7897, 0.6124], [0.2221, 0.2103, 0.3876], [0.6096, 0.6124, 0.2103], [0.9566, 0.0000, 0.0000]]
}

=====

{
  "formula": "Na3U3AuS8",
  "functional": "PBE",
  "state": "relaxed",
  "dos_ef_per_ev_cell": 11.01,
  "sg": "C2/m, No. 12",
  "raw_formation_energy_ev_per_atom": -1.1577,
  "total_energy_ev_per_atom": -6.099,
  "lattice_angstrom": [[-2.8534, -0.4340, -7.6376], [2.8603, -6.1894, 3.6473], [-7.0551, 2.7867, 2.4774]],
  "species": ["Na", "Na", "Na", "U", "U", "U", "Au", "S", "S", "S", "S", "S", "S", "S", "S"],
  "frac_coords": [[0.0000, 0.0000, 0.0000], [0.0000, 0.5000, 0.0000], [0.5000, 0.5000, 0.0000], [0.5000, 0.0000, 0.5000], [0.5000, 0.5000, 0.5000], [0.0000, 0.5000, 0.5000], [0.0000, 0.0000, 0.5000], [0.2526, 0.5052, 0.2682], [0.7474, 0.4948, 0.7318], [0.7778, 0.5555, 0.2962], [0.2222, 0.4445, 0.7038], [0.7297, 0.0279, 0.2611], [0.2703, 0.9721, 0.7389], [0.2982, 0.0279, 0.2611], [0.7018, 0.9721, 0.7389]]
}